Li3TiNi: relaxed, GGA-PBE.

Results
ΔH_f (0 K) = 7.0 eV per formula unit
N(E_F) = 0.85 states/eV per atom
Space-group type = Pm-3m (221)
ΔE to the lowest computed polymorph = 0.741 eV per atom

Cell and atoms, written as POSCAR:
```
Li3TiNi
1.0
4.768 0.000 0.000
0.000 4.768 0.000
0.000 0.000 4.768
Ni Li Ti
1 3 1
Direct
0.500 0.500 0.500
0.000 0.500 0.000
0.000 0.000 0.500
0.500 0.000 0.000
0.000 0.000 0.000
```